1.
DySnRh: relaxed, PBE.

Cell lengths 3.723, 7.678, 7.678 Å; angles 120.00, 90.00, 90.00 degrees
Atoms (fractional coordinates):
Dy1 0.000 0.597 0.000
Dy2 0.000 0.403 0.403
Dy3 0.000 0.000 0.597
Sn1 0.500 0.734 0.734
Sn2 0.500 0.000 0.266
Sn3 0.500 0.266 0.000
Rh1 0.500 0.333 0.667
Rh2 0.000 0.000 0.000
Rh3 0.500 0.667 0.333

Values from the calculation:
ΔH_f (0 K)	-0.906	eV/atom
symmetry	P-62m, No. 189

2.
YNiTe2: relaxed, PBE.

Cell lengths 7.930, 4.920, 3.777 Å; angles 90.09, 61.42, 128.48 degrees
Atoms (fractional coordinates):
Te1 0.500 0.000 0.500
Te2 0.000 0.000 0.000
Y1 0.000 0.500 0.500
Ni1 0.500 0.500 0.000

Values from the calculation:
formation energy from raw total energies	-46.5	kJ per mole of atoms
symmetry	C2/m, No. 12

3.
Tb6Ho12Al: relaxed, PBE.

Cell lengths 8.389, 8.389, 8.389 Å; angles 88.78, 88.78, 88.78 degrees
Atoms (fractional coordinates):
Ho1 0.219 0.461 0.564
Ho2 0.817 0.641 0.986
Ho3 0.564 0.219 0.461
Ho4 0.461 0.564 0.219
Ho5 0.183 0.359 0.014
Ho6 0.539 0.436 0.781
Ho7 0.986 0.817 0.641
Ho8 0.641 0.986 0.817
Ho9 0.359 0.014 0.183
Ho10 0.781 0.539 0.436
Ho11 0.014 0.183 0.359
Ho12 0.436 0.781 0.539
Tb1 0.294 0.742 0.906
Tb2 0.706 0.258 0.094
Tb3 0.094 0.706 0.258
Tb4 0.258 0.094 0.706
Tb5 0.742 0.906 0.294
Tb6 0.906 0.294 0.742
Al1 0.000 0.000 0.000

Values from the calculation:
ΔH_f (0 K)	0.091	eV/atom
symmetry	R-3, No. 148

4.
YNb2Ga6: relaxed, PBE.

Cell lengths 4.000, 7.407, 7.407 Å; angles 54.04, 74.34, 74.34 degrees
Atoms (fractional coordinates):
Ga1 0.500 0.687 0.313
Ga2 0.311 0.986 0.393
Ga3 0.689 0.014 0.607
Ga4 0.311 0.393 0.986
Ga5 0.689 0.607 0.014
Ga6 0.500 0.313 0.687
Y1 0.000 0.000 0.000
Nb1 0.117 0.383 0.383
Nb2 0.883 0.617 0.617

Values from the calculation:
ΔH_f (0 K)	-0.272	eV/atom
symmetry	Immm, No. 71

5.
PmGa2CuNi: relaxed, PBE.

Cell lengths 4.207, 4.207, 5.790 Å; angles 111.30, 111.30, 90.00 degrees
Atoms (fractional coordinates):
Pm1 0.000 0.000 0.000
Ga1 0.370 0.370 0.740
Ga2 0.630 0.630 0.260
Cu1 0.250 0.750 0.500
Ni1 0.750 0.250 0.500

Values from the calculation:
ΔH_f (0 K)	-0.475	eV/atom
symmetry	I-4m2, No. 119

6.
MgIn2Ni: relaxed, PBE.

Cell lengths 5.668, 5.668, 3.231 Å; angles 73.12, 73.12, 113.66 degrees
Atoms (fractional coordinates):
Ni1 0.000 0.500 0.500
Mg1 0.500 0.000 0.500
In1 0.000 0.000 0.000
In2 0.500 0.500 0.000

Values from the calculation:
ΔH_f (0 K)	0.141	eV/atom
symmetry	C2/m, No. 12

no.,DFT total energy (eV per atom)
1,-6.225
2,-5.114
3,-4.459
4,-5.246
5,-4.611
6,-3.072